1.
TmZr2PaC4 after structural relaxation, computed with PBE.

```
TmZr2PaC4
1.0
5.955 0.000 0.000
0.000 3.444 0.000
-1.984 0.000 5.698
Tm Zr Pa C
1 2 1 4
Direct
0.000 0.000 0.000
0.000 0.500 0.500
0.500 0.000 0.500
0.500 0.500 0.000
0.252 0.000 0.739
0.260 0.500 0.260
0.740 0.500 0.740
0.748 0.000 0.261
```

Results
Uncorrected energy ... -9.076 eV/atom

2.
UPa5C6 after structural relaxation, computed with PBE.

```
UPa5C6
1.0
3.096 -5.358 0.000
3.096 5.358 0.000
-2.068 0.000 5.835
U Pa C
1 5 6
Direct
0.000 0.000 0.000
0.168 0.832 0.500
0.334 0.666 0.000
0.500 0.500 0.500
0.666 0.334 0.000
0.832 0.168 0.500
0.080 0.403 0.241
0.240 0.240 0.752
0.403 0.080 0.241
0.597 0.920 0.759
0.760 0.760 0.248
0.920 0.597 0.759
```

Results
Uncorrected energy ... -9.912 eV/atom

3.
UPa2C4 after structural relaxation, computed with PBE.

```
UPa2C4
1.0
5.921 0.000 0.000
0.000 10.166 0.000
0.000 0.000 3.610
U Pa C
2 4 8
Direct
0.000 0.000 0.000
0.500 0.500 0.000
0.045 0.325 0.500
0.455 0.825 0.500
0.545 0.175 0.500
0.955 0.675 0.500
0.181 0.798 0.000
0.244 0.028 0.500
0.256 0.528 0.500
0.319 0.298 0.000
0.681 0.702 0.000
0.744 0.472 0.500
0.756 0.972 0.500
0.819 0.202 0.000
```

Results
Uncorrected energy ... -9.692 eV/atom

4.
UPa3C4 after structural relaxation, computed with PBE.

```
UPa3C4
1.0
7.103 0.000 0.000
0.000 10.117 0.000
0.000 0.000 3.568
U Pa C
2 6 8
Direct
0.000 0.000 0.000
0.500 0.500 0.000
0.000 0.500 0.000
0.250 0.250 0.500
0.250 0.750 0.500
0.500 0.000 0.000
0.750 0.250 0.500
0.750 0.750 0.500
0.000 0.244 0.000
0.000 0.756 0.000
0.237 0.000 0.500
0.263 0.500 0.500
0.500 0.256 0.000
0.500 0.744 0.000
0.737 0.500 0.500
0.763 0.000 0.500
```

Results
Uncorrected energy ... -9.959 eV/atom

5.
U2Pa2C3 after structural relaxation, computed with PBE.

```
U2Pa2C3
1.0
11.776 0.000 0.000
0.000 3.401 0.000
-1.289 0.000 5.852
U Pa C
4 4 6
Direct
0.124 0.000 0.372
0.376 0.500 0.628
0.624 0.500 0.372
0.876 0.000 0.628
0.124 0.500 0.861
0.376 0.000 0.139
0.624 0.000 0.861
0.876 0.500 0.139
0.000 0.000 0.000
0.241 0.500 0.258
0.259 0.000 0.742
0.500 0.500 0.000
0.741 0.000 0.258
0.759 0.500 0.742
```

Results
Uncorrected energy ... -10.101 eV/atom

6.
UPaC2 after structural relaxation, computed with PBE.

```
UPaC2
1.0
3.410 0.000 0.000
-1.705 2.953 0.000
0.000 0.000 18.291
U Pa C
3 3 6
Direct
0.000 0.000 0.000
0.333 0.667 0.667
0.667 0.333 0.333
0.000 0.000 0.170
0.333 0.667 0.837
0.667 0.333 0.503
0.000 0.000 0.585
0.000 0.000 0.748
0.333 0.667 0.252
0.333 0.667 0.415
0.667 0.333 0.081
0.667 0.333 0.919
```

Results
Uncorrected energy ... -9.917 eV/atom

7.
UPa2C3 after structural relaxation, computed with PBE.

```
UPa2C3
1.0
5.171 -3.309 0.000
5.171 3.309 0.000
-1.675 0.000 5.643
U Pa C
2 4 6
Direct
0.117 0.883 0.750
0.883 0.117 0.250
0.171 0.512 0.323
0.488 0.829 0.177
0.512 0.171 0.823
0.829 0.488 0.677
0.137 0.220 0.002
0.220 0.137 0.502
0.453 0.547 0.750
0.547 0.453 0.250
0.780 0.863 0.498
0.863 0.780 0.998
```

Results
Uncorrected energy ... -9.651 eV/atom

8.
UPa2C3 after structural relaxation, computed with PBE.

```
UPa2C3
1.0
3.570 0.000 0.000
0.000 3.570 0.000
0.000 0.000 15.004
U Pa C
2 4 6
Direct
0.000 0.000 0.000
0.500 0.500 0.500
0.000 0.000 0.334
0.000 0.000 0.666
0.500 0.500 0.166
0.500 0.500 0.834
0.000 0.000 0.160
0.000 0.000 0.500
0.000 0.000 0.840
0.500 0.500 0.000
0.500 0.500 0.340
0.500 0.500 0.660
```

Results
Uncorrected energy ... -9.998 eV/atom